[1]
The following is a PBE calculation of crystalline NbInBr2 at its relaxed geometry, from Alexandria.

Output
Spin magnetization: 0.0 μB/f.u.
Formation energy from raw total energies: -128 kJ/mol of formula units
Excess energy over the best structure of this formula in the dataset: 0 meV per atom

Cell: 10.988 10.988 10.988 Å, 17.61 17.61 17.61°
Positions (direct):
Nb  0.000  0.000  0.000
In  0.500  0.500  0.500
Br  0.391  0.391  0.391
Br  0.609  0.609  0.609

---

[2]
The following is a PBE calculation of crystalline VReGe2 at its relaxed geometry, from Alexandria.

Output
Spin magnetization: 0.0 μB/f.u.
Energy of formation from the pure elements: 0.369 eV per atom
Excess energy over the best structure of this formula in the dataset: 275 meV per atom

Cell: 9.447 9.447 9.447 Å, 157.11 157.11 32.60°
Positions (direct):
V  0.000  0.000  0.000
V  0.750  0.250  0.500
Re  0.250  0.750  0.500
Re  0.500  0.500  0.000
Ge  0.117  0.625  0.992
Ge  0.375  0.367  0.492
Ge  0.633  0.125  0.008
Ge  0.875  0.883  0.508